Pm2HoPt (PBE-GGA, optimized geometry); crystal system = orthorhombic; volume = 31.60 Å³ per atom; energy of formation from the pure elements = -0.511 eV per atom; space group = No. 52; distance to the lowest polymorph of the same formula = 152 meV/atom
1.0
6.752 0.000 0.000
0.000 6.541 0.000
0.000 0.000 11.448
Pm Ho Pt
8 4 4
direct
0.085 0.236 0.086 Pm
0.085 0.264 0.414 Pm
0.415 0.736 0.414 Pm
0.415 0.764 0.086 Pm
0.585 0.236 0.914 Pm
0.585 0.264 0.586 Pm
0.915 0.736 0.586 Pm
0.915 0.764 0.914 Pm
0.054 0.250 0.750 Ho
0.446 0.750 0.750 Ho
0.554 0.250 0.250 Ho
0.946 0.750 0.250 Ho
0.250 0.000 0.594 Pt
0.250 0.500 0.906 Pt
0.750 0.000 0.406 Pt
0.750 0.500 0.094 Pt